(1)
Below is a relaxed structure of Ac2PrMg2, with properties calculated at the PBE-GGA level.

energy above the most stable polymorph in this dataset: 38.4 meV per atom
total DFT energy (no corrections): -3.1901 eV/atom

Cell lengths 5.5464, 6.9514, 9.4561 Å; angles 90.00, 90.00, 90.00 degrees
Closest atoms and distances in Å follow each position.
Atoms (fractional coordinates):
1 Ac 0.0000 0.0000 0.1949  6 Mg 3.50-3.65, 1 Ac 3.69
2 Ac 0.0000 0.0000 0.8051  6 Mg 3.50-3.65, 1 Ac 3.69
3 Ac 0.5000 0.5000 0.3051  6 Mg 3.50-3.65, 1 Ac 3.69
4 Ac 0.5000 0.5000 0.6949  6 Mg 3.50-3.65, 1 Ac 3.69
5 Pr 0.0000 0.5000 0.0000  4 Mg 3.41
6 Pr 0.5000 0.0000 0.5000  4 Mg 3.41
7 Mg 0.0000 0.2844 0.5000  1 Mg 3.00
8 Mg 0.0000 0.7156 0.5000  1 Mg 3.00
9 Mg 0.5000 0.2156 0.0000  1 Mg 3.00
10 Mg 0.5000 0.7844 0.0000  1 Mg 3.00

=====

(2)
Below is a relaxed structure of Tl4PW, with properties calculated at the PBE-GGA level.

total DFT energy (no corrections): -3.2895 eV/atom

Cell lengths 6.1800, 6.1800, 6.1800 Å; angles 60.00, 60.00, 60.00 degrees
Closest atoms and distances in Å follow each position.
Atoms (fractional coordinates):
1 Tl 0.1251 0.1251 0.1251  6 Tl 3.09
2 Tl 0.1251 0.1251 0.6246  6 Tl 3.09
3 Tl 0.1251 0.6246 0.1251  6 Tl 3.09
4 Tl 0.6246 0.1251 0.1251  6 Tl 3.09
5 P 0.5000 0.5000 0.5000  12 Tl 3.62, 4 W 3.78
6 W 0.7500 0.7500 0.7500  12 Tl 3.62, 4 P 3.78

=====

(3)
Below is a relaxed structure of Ca2Pr8Sm, with properties calculated at the PBE-GGA level.

total DFT energy (no corrections): -4.2253 eV/atom

Cell lengths 9.8505, 9.8505, 8.2889 Å; angles 104.04, 104.04, 31.19 degrees
Closest atoms and distances in Å follow each position.
Atoms (fractional coordinates):
1 Ca 0.1361 0.1361 0.1793  10 Pr 3.71-3.78, 2 Sm 3.74
2 Ca 0.8639 0.8639 0.8207  10 Pr 3.71-3.78, 2 Sm 3.74
3 Pr 0.0464 0.0464 0.7231  8 Pr 3.64-3.74, 2 Ca 3.73-3.75, 2 Sm 3.75
4 Pr 0.2248 0.2248 0.6358  9 Pr 3.64-3.81, 3 Ca 3.73-3.78
5 Pr 0.3198 0.3198 0.0977  8 Pr 3.63-3.81, 1 Sm 3.71, 3 Ca 3.71-3.74
6 Pr 0.4107 0.4107 0.5397  9 Pr 3.61-3.81, 1 Sm 3.76, 2 Ca 3.78
7 Pr 0.5893 0.5893 0.4603  9 Pr 3.61-3.81, 1 Sm 3.76, 2 Ca 3.78
8 Pr 0.6802 0.6802 0.9023  8 Pr 3.63-3.81, 1 Sm 3.71, 3 Ca 3.71-3.74
9 Pr 0.7752 0.7752 0.3642  9 Pr 3.64-3.81, 3 Ca 3.73-3.78
10 Pr 0.9536 0.9536 0.2769  8 Pr 3.64-3.74, 2 Ca 3.73-3.75, 2 Sm 3.75
11 Sm 0.5000 0.5000 0.0000  8 Pr 3.71-3.76, 4 Ca 3.74

=====

(4)
Below is a relaxed structure of Cs3Tl2Br9, with properties calculated at the PBE-GGA level.

energy above the most stable polymorph in this dataset: 18.6 meV per atom
total DFT energy (no corrections): -2.6711 eV/atom
formation energy (no corrections): -1.0747 eV/atom

Cell lengths 7.9778, 7.9778, 9.8644 Å; angles 90.00, 90.00, 120.00 degrees
Closest atoms and distances in Å follow each position.
Atoms (fractional coordinates):
1 Cs 0.0000 0.0000 0.0000  12 Br 3.94-3.99
2 Cs 0.3333 0.6667 0.6636  12 Br 3.99-4.06
3 Cs 0.6667 0.3333 0.3364  12 Br 3.99-4.06
4 Tl 0.3333 0.6667 0.1897  6 Br 2.69-2.97
5 Tl 0.6667 0.3333 0.8103  6 Br 2.69-2.97
6 Br 0.0000 0.5000 0.0000  2 Tl 2.97
7 Br 0.1647 0.3294 0.3260  1 Tl 2.69
8 Br 0.1647 0.8353 0.3260  1 Tl 2.69
9 Br 0.3294 0.1647 0.6740  1 Tl 2.69
10 Br 0.5000 0.0000 0.0000  2 Tl 2.97
11 Br 0.5000 0.5000 0.0000  2 Tl 2.97
12 Br 0.6706 0.8353 0.3260  1 Tl 2.69
13 Br 0.8353 0.1647 0.6740  1 Tl 2.69
14 Br 0.8353 0.6706 0.6740  1 Tl 2.69

=====

(5)
Below is a relaxed structure of SrBeCl, with properties calculated at the PBE-GGA level.

energy above the most stable polymorph in this dataset: 0.0 meV per atom
total DFT energy (no corrections): -2.7114 eV/atom
formation energy (no corrections): -0.2932 eV/atom

Cell lengths 3.7459, 3.7459, 13.5054 Å; angles 90.00, 90.00, 90.00 degrees
Closest atoms and distances in Å follow each position.
Atoms (fractional coordinates):
1 Sr 0.0000 0.0000 0.0000  4 Cl 3.02, 4 Be 3.25
2 Sr 0.5000 0.5000 0.5000  4 Cl 3.02, 4 Be 3.25
3 Be 0.0000 0.0000 0.6396  4 Sr 3.25, 1 Cl 3.33
4 Be 0.5000 0.5000 0.1396  4 Sr 3.25, 1 Cl 3.33
5 Cl 0.0000 0.0000 0.3931  4 Sr 3.02, 1 Be 3.33
6 Cl 0.5000 0.5000 0.8931  4 Sr 3.02, 1 Be 3.33

=====

(6)
Below is a relaxed structure of PmErNiGe, with properties calculated at the PBE-GGA level.

total DFT energy (no corrections): -5.4301 eV/atom

Cell lengths 7.0376, 7.0376, 7.0376 Å; angles 90.00, 90.00, 90.00 degrees
Closest atoms and distances in Å follow each position.
Atoms (fractional coordinates):
1 Pm 0.0000 0.0000 0.0000  4 Ge 3.05, 4 Ni 3.05
2 Pm 0.0000 0.5000 0.5000  4 Ge 3.05, 4 Ni 3.05
3 Pm 0.5000 0.0000 0.5000  4 Ge 3.05, 4 Ni 3.05
4 Pm 0.5000 0.5000 0.0000  4 Ge 3.05, 4 Ni 3.05
5 Er 0.0000 0.0000 0.5000  4 Ge 3.05, 4 Ni 3.05
6 Er 0.0000 0.5000 0.0000  4 Ge 3.05, 4 Ni 3.05
7 Er 0.5000 0.0000 0.0000  4 Ge 3.05, 4 Ni 3.05
8 Er 0.5000 0.5000 0.5000  4 Ge 3.05, 4 Ni 3.05
9 Ni 0.2500 0.2500 0.2500  4 Er 3.05, 4 Pm 3.05
10 Ni 0.2500 0.7500 0.7500  4 Er 3.05, 4 Pm 3.05
11 Ni 0.7500 0.2500 0.7500  4 Er 3.05, 4 Pm 3.05
12 Ni 0.7500 0.7500 0.2500  4 Er 3.05, 4 Pm 3.05
13 Ge 0.2500 0.2500 0.7500  4 Er 3.05, 4 Pm 3.05
14 Ge 0.2500 0.7500 0.2500  4 Er 3.05, 4 Pm 3.05
15 Ge 0.7500 0.2500 0.2500  4 Er 3.05, 4 Pm 3.05
16 Ge 0.7500 0.7500 0.7500  4 Er 3.05, 4 Pm 3.05